DFT (PBE) results for a relaxed MgCo2Sn crystal.

* theoretical density: 7.44 g/cm³
* DFT total energy: -4.919 eV per atom
* space-group type: P4/mmm, No. 123
* ΔE_f: 0.033 eV per atom
* DOS(E_F): 0.5134 states/eV per atom

Unit cell a=3.117 b=3.117 c=5.989 alpha=90.00 beta=90.00 gamma=90.00
Positions (direct):
Mg (0.500, 0.500, 0.500)
Co (0.000, 0.000, 0.759)
Co (0.000, 0.000, 0.241)
Sn (0.500, 0.500, 0.000)

DFT (PBE) results for a relaxed MgCoSn3 crystal.

* theoretical density: 6.56 g/cm³
* DFT total energy: -4.175 eV per atom
* space-group type: C2/m, No. 12
* ΔE_f: -0.033 eV per atom
* DOS(E_F): 0.5019 states/eV per atom

Unit cell a=6.500 b=6.500 c=6.859 alpha=106.94 beta=120.15 gamma=99.35
Positions (direct):
Mg (0.697, 0.057, 0.753)
Mg (0.303, 0.943, 0.247)
Co (0.646, 0.735, 0.381)
Co (0.354, 0.265, 0.619)
Sn (0.845, 0.007, 0.254)
Sn (0.247, 0.409, 0.254)
Sn (0.753, 0.591, 0.746)
Sn (0.724, 0.420, 0.144)
Sn (0.155, 0.993, 0.746)
Sn (0.276, 0.580, 0.856)

DFT (PBE) results for a relaxed MgCo2Sn crystal.

* theoretical density: 7.59 g/cm³
* DFT total energy: -4.977 eV per atom
* space-group type: P4/mmm, No. 123
* ΔE_f: -0.025 eV per atom
* DOS(E_F): 0.5026 states/eV per atom

Unit cell a=3.193 b=4.229 c=4.229 alpha=90.00 beta=90.00 gamma=90.00
Positions (direct):
Mg (0.500, 0.500, 0.500)
Co (0.000, 0.000, 0.500)
Co (0.000, 0.500, 0.000)
Sn (0.500, 0.000, 0.000)

DFT (PBE) results for a relaxed MgCo2Sn crystal.

* theoretical density: 6.06 g/cm³
* DFT total energy: -4.207 eV per atom
* space-group type: Immm, No. 71
* ΔE_f: 0.745 eV per atom
* DOS(E_F): 1.6574 states/eV per atom

Unit cell a=5.957 b=5.957 c=5.957 alpha=54.77 beta=151.69 gamma=134.15
Positions (direct):
Mg (0.000, 0.000, 0.000)
Co (0.000, 0.255, 0.255)
Co (0.000, 0.745, 0.745)
Sn (0.000, 0.500, 0.500)

DFT (PBE) results for a relaxed MgCoSn3 crystal.

* theoretical density: 5.94 g/cm³
* DFT total energy: -4.030 eV per atom
* space-group type: Pm-3m, No. 221
* ΔE_f: 0.112 eV per atom
* DOS(E_F): 0.9540 states/eV per atom

Unit cell a=4.971 b=4.971 c=4.971 alpha=90.00 beta=90.00 gamma=90.00
Positions (direct):
Mg (0.500, 0.500, 0.500)
Co (0.000, 0.000, 0.000)
Sn (0.000, 0.500, 0.000)
Sn (0.000, 0.000, 0.500)
Sn (0.500, 0.000, 0.000)

DFT (PBE) results for a relaxed MgCo2Sn8 crystal.

* theoretical density: 6.42 g/cm³
* DFT total energy: -4.277 eV per atom
* space-group type: C2/m, No. 12
* ΔE_f: 0.071 eV per atom
* DOS(E_F): 0.5230 states/eV per atom

Unit cell a=4.754 b=8.205 c=8.205 alpha=62.43 beta=84.98 gamma=84.98
Positions (direct):
Mg (0.000, 0.000, 0.000)
Co (0.776, 0.833, 0.833)
Co (0.224, 0.167, 0.167)
Sn (0.332, 0.364, 0.832)
Sn (0.668, 0.168, 0.636)
Sn (0.287, 0.794, 0.794)
Sn (0.713, 0.206, 0.206)
Sn (0.332, 0.832, 0.364)
Sn (0.668, 0.636, 0.168)
Sn (0.835, 0.642, 0.642)
Sn (0.165, 0.358, 0.358)